1.
NbIn2Rh2 | PBE | optimized geometry

Output
Its crystal system is tetragonal. The formation energy from the elements is -0.183 eV per atom.

The structure in POSCAR format:
```
NbIn2Rh2
1.0
-5.6432 3.3991 -1.3865
-0.0189 -2.5696 -6.2224
-2.2374 -3.1766 1.3186
In Rh Nb
4 4 2
Cartesian
-5.8268 0.3877 -2.5692 In
-4.8974 -1.4627 -5.4497 In
-2.0726 -2.7347 -3.7211 In
-3.0021 -0.8843 -0.8406 In
-4.8698 1.2836 -5.1709 Rh
-3.6097 1.8150 -1.7524 Rh
-2.0524 -0.9855 -5.8566 Rh
-0.7923 -0.4540 -2.4381 Rh
-2.8310 0.4148 -3.8045 Nb
0.0000 0.0000 0.0000 Nb
```

---

2.
ScBe2Se | PBE | optimized geometry

Output
Its crystal system is cubic. Its raw formation energy is 85 kJ/mol of formula units.

The structure in POSCAR format:
```
ScBe2Se
1.0
4.4337 0.0000 0.0000
2.2168 3.8397 0.0000
2.2168 1.2799 3.6201
Se Be Sc
1 2 1
Cartesian
2.2168 1.2799 0.9050 Se
6.6505 3.8397 2.7151 Be
0.0000 0.0000 0.0000 Be
4.4337 2.5598 1.8100 Sc
```

---

3.
Cs2AgAu2 | PBE | optimized geometry

Output
Its crystal system is tetragonal. The formation energy from the elements is -0.156 eV per atom.

The structure in POSCAR format:
```
Cs2AgAu2
1.0
-6.1644 3.2152 -0.7810
-2.7810 -4.1402 4.9062
-3.4252 2.2451 4.9413
Cs Ag Au
2 1 2
Cartesian
-7.0311 2.4989 3.1114 Cs
-5.3395 -1.1788 5.9550 Cs
0.0000 0.0000 0.0000 Ag
-8.2462 0.8824 6.0467 Au
-4.1244 0.4378 3.0197 Au
```

---

Repeat the third record exactly.
Cs2AgAu2 | PBE | optimized geometry

Output
Its crystal system is tetragonal. The formation energy from the elements is -0.156 eV per atom.

The structure in POSCAR format:
```
Cs2AgAu2
1.0
-6.1644 3.2152 -0.7810
-2.7810 -4.1402 4.9062
-3.4252 2.2451 4.9413
Cs Ag Au
2 1 2
Cartesian
-7.0311 2.4989 3.1114 Cs
-5.3395 -1.1788 5.9550 Cs
0.0000 0.0000 0.0000 Ag
-8.2462 0.8824 6.0467 Au
-4.1244 0.4378 3.0197 Au
```

---

Copy entry 1 word for word.
NbIn2Rh2 | PBE | optimized geometry

Output
Its crystal system is tetragonal. The formation energy from the elements is -0.183 eV per atom.

The structure in POSCAR format:
```
NbIn2Rh2
1.0
-5.6432 3.3991 -1.3865
-0.0189 -2.5696 -6.2224
-2.2374 -3.1766 1.3186
In Rh Nb
4 4 2
Cartesian
-5.8268 0.3877 -2.5692 In
-4.8974 -1.4627 -5.4497 In
-2.0726 -2.7347 -3.7211 In
-3.0021 -0.8843 -0.8406 In
-4.8698 1.2836 -5.1709 Rh
-3.6097 1.8150 -1.7524 Rh
-2.0524 -0.9855 -5.8566 Rh
-0.7923 -0.4540 -2.4381 Rh
-2.8310 0.4148 -3.8045 Nb
0.0000 0.0000 0.0000 Nb
```